Version a
Material: NaAs2Pd
Method: DFT, PBE
State: relaxed

## Properties
* M_tot: 0.0 μB/f.u.
* N(E_F): 0.496 states/eV/atom

Cell: 4.1939 4.9442 4.9442 Å, 69.45 90.00 90.00°
Last column: nearest neighbours and their distance in Å.
Fractional coordinates of all 4 atoms:
Na1 0.0000 0.0000 0.0000  8 As 3.24-3.27, 4 Pd 3.53
As1 0.5000 0.5260 0.9383  1 As 2.32, 2 Pd 2.45-2.54
As2 0.5000 0.9383 0.5260  1 As 2.32, 2 Pd 2.45-2.54
Pd1 0.5000 0.4547 0.4547  4 As 2.45-2.54

---

Version b
Material: NaAs2Pd
Method: DFT, PBE
State: relaxed

## Properties
* M_tot: 0.0 μB/f.u.
* N(E_F): 0.546 states/eV/atom

Cell: 6.1008 6.1008 6.1008 Å, 101.57 101.57 126.78°
Last column: nearest neighbours and their distance in Å.
Fractional coordinates of all 8 atoms:
Na1 0.0000 0.0000 0.0000  2 Pd 2.73
Na2 0.7500 0.2500 0.5000  2 Pd 2.73
As1 0.1822 0.6250 0.0572  2 Pd 2.53
As2 0.3750 0.4322 0.5572  2 Pd 2.53
As3 0.5678 0.1250 0.9428  2 Pd 2.53
As4 0.8750 0.8178 0.4428  2 Pd 2.53
Pd1 0.2500 0.7500 0.5000  4 As 2.53, 2 Na 2.73
Pd2 0.5000 0.5000 0.0000  4 As 2.53, 2 Na 2.73

---

Version c
Material: NaAs2Pd
Method: DFT, PBE
State: relaxed

## Properties
* M_tot: 0.0 μB/f.u.
* N(E_F): 0.252 states/eV/atom

Cell: 3.9516 4.3015 5.2681 Å, 90.00 95.82 90.00°
Last column: nearest neighbours and their distance in Å.
Fractional coordinates of all 4 atoms:
Na1 0.0000 0.0000 0.0000  4 As 3.05, 2 Pd 3.13
As1 0.2624 0.5000 0.6583  2 Pd 2.52, 2 As 2.53-2.63
As2 0.7376 0.5000 0.3417  2 Pd 2.52, 2 As 2.53-2.63
Pd1 0.5000 0.0000 0.5000  4 As 2.52

---

Version d
Material: NaAs2Pd
Method: DFT, PBE
State: relaxed

## Properties
* M_tot: 0.0 μB/f.u.
* N(E_F): 0.280 states/eV/atom

Cell: 4.6587 4.6587 4.6587 Å, 60.00 60.00 60.00°
Last column: nearest neighbours and their distance in Å.
Fractional coordinates of all 4 atoms:
Na1 0.0000 0.0000 0.0000  8 As 2.85
As1 0.2500 0.2500 0.2500  4 Na 2.85, 4 Pd 2.85
As2 0.7500 0.7500 0.7500  4 Pd 2.85, 4 Na 2.85
Pd1 0.5000 0.5000 0.5000  8 As 2.85

---

Ranking the structures above by stability puts version c first and version d last.